Compound: PaCoNO
Source: OQMD
Functional: PBE with a Hubbard U
Structure: optimized geometry

Geometry as POSCAR:
```
PaCoNO
1.0
-2.697 0.381 3.987
1.742 -4.217 1.581
3.343 2.152 2.056
Pa Co N O
2 2 2 2
direct
0.750 0.250 0.500 Pa
0.250 0.750 0.500 Pa
0.250 0.250 0.005 Co
0.750 0.750 0.995 Co
0.250 0.250 0.503 N
0.750 0.750 0.497 N
0.750 0.250 0.000 O
0.250 0.750 0.000 O
```

Output
Total magnetic moment   0.39 μB/atom
Symmetry   P4/nmm (129)
Electronic total energy   -8.806 eV per atom